Record 1
Density functional theory data (PBE) for an optimized crystal structure of CaTe2Mo.

As for the total energy: -39.99 eV per cell. The energy relative to the elements, uncorrected is -0.22 eV per atom. The density of states at the Fermi level comes out at 8.9 states/eV per cell.

a b c (Å): 4.913 4.958 7.585
angles (deg): 90.00 90.00 90.00
Sites, in units of the cell vectors:
Ca 0.000 0.000 0.000
Ca 0.500 0.500 0.000
Te 0.000 0.500 0.286
Te 0.000 0.500 0.714
Te 0.500 0.000 0.286
Te 0.500 0.000 0.714
Mo 0.000 0.000 0.500
Mo 0.500 0.500 0.500

Record 2
Density functional theory data (PBE) for an optimized crystal structure of Li2SiPb.

As for the total energy: -13.28 eV per cell. The energy relative to the elements, uncorrected is -0.08 eV per atom. The density of states at the Fermi level comes out at 1.5 states/eV per cell.

a b c (Å): 4.184 4.184 4.290
angles (deg): 90.00 90.00 90.00
Sites, in units of the cell vectors:
Li 0.000 0.500 0.000
Li 0.500 0.000 0.000
Si 0.000 0.000 0.500
Pb 0.500 0.500 0.500

Record 3
Density functional theory data (PBE) for an optimized crystal structure of Ru2Pt7Rh2.

As for the total energy: -74.06 eV per cell. The density of states at the Fermi level comes out at 14.8 states/eV per cell.

a b c (Å): 5.158 5.158 6.527
angles (deg): 96.83 96.83 91.94
Sites, in units of the cell vectors:
Ru 0.182 0.818 0.000
Ru 0.818 0.182 0.000
Pt 0.039 0.416 0.700
Pt 0.340 0.340 0.079
Pt 0.416 0.039 0.700
Pt 0.500 0.500 0.500
Pt 0.584 0.961 0.300
Pt 0.660 0.660 0.921
Pt 0.961 0.584 0.300
Rh 0.096 0.096 0.348
Rh 0.904 0.904 0.652

Record 4
Density functional theory data (PBE) for an optimized crystal structure of Ac2Nd3ErTe6.

As for the total energy: -62.73 eV per cell. The energy relative to the elements, uncorrected is -1.40 eV per atom. The density of states at the Fermi level comes out at 6.7 states/eV per cell.

a b c (Å): 7.882 7.882 7.867
angles (deg): 99.61 99.61 119.97
Sites, in units of the cell vectors:
Ac 0.164 0.836 0.000
Ac 0.836 0.164 0.000
Nd 0.000 0.000 0.500
Nd 0.319 0.681 0.500
Nd 0.681 0.319 0.500
Er 0.500 0.500 0.000
Te 0.104 0.419 0.751
Te 0.276 0.276 0.264
Te 0.419 0.104 0.751
Te 0.581 0.896 0.249
Te 0.724 0.724 0.736
Te 0.896 0.581 0.249

Record 5
Density functional theory data (PBE) for an optimized crystal structure of InAuS2.

As for the total energy: -62.37 eV per cell. The energy relative to the elements, uncorrected is -0.33 eV per atom. The density of states at the Fermi level comes out at 0.0 states/eV per cell.

a b c (Å): 7.064 8.790 6.726
angles (deg): 90.00 90.00 90.00
Sites, in units of the cell vectors:
In 0.063 0.133 0.000
In 0.437 0.633 0.500
In 0.563 0.367 0.000
In 0.937 0.867 0.500
Au 0.033 0.729 0.896
Au 0.467 0.229 0.396
Au 0.533 0.771 0.896
Au 0.967 0.271 0.396
S 0.087 0.614 0.584
S 0.101 0.103 0.625
S 0.399 0.603 0.125
S 0.413 0.114 0.084
S 0.587 0.886 0.584
S 0.601 0.397 0.625
S 0.899 0.897 0.125
S 0.913 0.386 0.084

Record 6
Density functional theory data (PBE) for an optimized crystal structure of TlGaCu.

As for the total energy: -36.64 eV per cell. The density of states at the Fermi level comes out at 3.2 states/eV per cell.

a b c (Å): 13.059 3.576 5.645
angles (deg): 90.00 108.00 90.00
Sites, in units of the cell vectors:
Tl 0.122 0.000 0.000
Tl 0.378 0.500 0.000
Tl 0.622 0.500 0.000
Tl 0.878 0.000 0.000
Ga 0.097 0.500 0.500
Ga 0.403 0.000 0.500
Ga 0.597 0.000 0.500
Ga 0.903 0.500 0.500
Cu 0.238 0.000 0.645
Cu 0.262 0.500 0.355
Cu 0.738 0.500 0.645
Cu 0.762 0.000 0.355

Record 7
Density functional theory data (PBE) for an optimized crystal structure of Ce3PrSm2Se6.

As for the total energy: -74.89 eV per cell. The energy relative to the elements, uncorrected is -1.83 eV per atom. The density of states at the Fermi level comes out at 19.8 states/eV per cell.

a b c (Å): 7.272 7.272 7.304
angles (deg): 99.56 99.56 120.04
Sites, in units of the cell vectors:
Ce 0.000 0.000 0.000
Ce 0.335 0.665 0.000
Ce 0.665 0.335 0.000
Pr 0.500 0.500 0.500
Sm 0.167 0.833 0.500
Sm 0.833 0.167 0.500
Se 0.079 0.417 0.250
Se 0.245 0.245 0.748
Se 0.417 0.079 0.250
Se 0.583 0.921 0.750
Se 0.755 0.755 0.252
Se 0.921 0.583 0.750

Record 8
Density functional theory data (PBE) for an optimized crystal structure of KZnRu2.

As for the total energy: -19.07 eV per cell. The density of states at the Fermi level comes out at 4.2 states/eV per cell.

a b c (Å): 2.968 2.968 8.639
angles (deg): 90.00 90.00 90.00
Sites, in units of the cell vectors:
K 0.000 0.000 0.000
Zn 0.500 0.500 0.668
Ru 0.000 0.000 0.481
Ru 0.500 0.500 0.308

Record 9
Density functional theory data (PBE) for an optimized crystal structure of La3CeTe4.

As for the total energy: -91.16 eV per cell. The energy relative to the elements, uncorrected is -1.54 eV per atom. The density of states at the Fermi level comes out at 22.7 states/eV per cell.

a b c (Å): 9.174 12.905 4.538
angles (deg): 90.00 90.00 90.00
Sites, in units of the cell vectors:
La 0.000 0.000 0.000
La 0.250 0.250 0.500
La 0.250 0.750 0.500
La 0.500 0.500 0.000
La 0.750 0.250 0.500
La 0.750 0.750 0.500
Ce 0.000 0.500 0.000
Ce 0.500 0.000 0.000
Te 0.000 0.252 0.000
Te 0.000 0.748 0.000
Te 0.247 0.500 0.500
Te 0.253 0.000 0.500
Te 0.500 0.248 0.000
Te 0.500 0.752 0.000
Te 0.747 0.000 0.500
Te 0.753 0.500 0.500

Record 10
Density functional theory data (PBE) for an optimized crystal structure of TaCdAu2.

As for the total energy: -58.36 eV per cell. The density of states at the Fermi level comes out at 4.0 states/eV per cell.

a b c (Å): 2.990 2.990 28.987
angles (deg): 90.00 90.00 120.00
Sites, in units of the cell vectors:
Ta 0.000 0.000 0.000
Ta 0.333 0.667 0.667
Ta 0.667 0.333 0.333
Cd 0.000 0.000 0.500
Cd 0.333 0.667 0.167
Cd 0.667 0.333 0.833
Au 0.000 0.000 0.253
Au 0.000 0.000 0.747
Au 0.333 0.667 0.413
Au 0.333 0.667 0.920
Au 0.667 0.333 0.080
Au 0.667 0.333 0.587